(1)
A plane-wave DFT calculation with PBE-GGA was carried out for RbNb2SbW after structural relaxation.

The density comes out at 6.76 g cm⁻³. Its density of states at the Fermi level is 6.483 states/eV/cell. For the uncorrected formation energy, the calculation gives 8.109 eV/f.u. The total magnetization is 0.0 μB/cell.

The structure belongs to space group P4/mmm (No. 123); the cell edges are 4.9372, 4.9372 and 5.8118 Å and the angles 90.00°, 90.00° and 90.00°. The inequivalent atoms are Rb at (0.0000, 0.0000, 0.0000), Nb at (0.0000, 0.5000, 0.5000), Sb at (0.5000, 0.5000, 0.0000) and W at (0.0000, 0.0000, 0.5000).

=====

(2)
A plane-wave DFT calculation with PBE-GGA was carried out for Cd2Ag2Au5 after structural relaxation.

The density comes out at 14.16 g cm⁻³. Its density of states at the Fermi level is 4.268 states/eV/cell. The value obtained for the formation energy is -96 meV per atom. The total magnetization is 0.0 μB/cell.

The structure belongs to space group C2/m (No. 12); the cell edges are 12.7293, 4.2672 and 6.5219 Å and the angles 90.00°, 109.33° and 90.00°. The inequivalent atoms are Cd at (0.1615, 0.0000, 0.9996), Ag at (0.2208, 0.5000, 0.3370), Au at (0.0000, 0.5000, 0.0000), Au at (0.0583, 0.0000, 0.3407) and Au at (0.1139, 0.5000, 0.6725).

=====

(3)
A plane-wave DFT calculation with PBE-GGA was carried out for ScPRu2C after structural relaxation.

The density comes out at 6.88 g cm⁻³. Its density of states at the Fermi level is 7.221 states/eV/cell. The value obtained for the formation energy is -587 meV per atom. The total magnetization is 0.0 μB/cell.

The structure belongs to space group Cmcm (No. 63); the cell edges are 3.5670, 11.4544 and 6.8550 Å and the angles 90.00°, 90.00° and 90.00°. The inequivalent atoms are Sc at (0.0000, 0.0316, 0.2500), P at (0.0000, 0.2352, 0.7500), Ru at (0.0000, 0.3395, 0.0478) and C at (0.0000, 0.5000, 0.0000).